Record 1
The following is a PBE-GGA calculation of a relaxed structure of TaGaRhF2, from the Alexandria database.

Raw total energy ... -5.4719 eV/atom
Formation energy without anion corrections ... -277 meV per atom

a = 4.0325 Å, b = 4.0325 Å, c = 5.1500 Å
α = 90.00°, β = 90.00°, γ = 90.00°
Last column: nearest neighbours and their distance in Å.
Positions (direct):
Ta (0.0000, 0.0000, 0.0000)  2 Rh 2.57, 4 Ga 2.85
Ga (0.5000, 0.5000, 0.0000)  4 Ta 2.85
Rh (0.0000, 0.0000, 0.5000)  4 F 2.02
F (0.0000, 0.5000, 0.5000)  2 Rh 2.02
F (0.5000, 0.0000, 0.5000)  2 Rh 2.02

=====

Record 2
The following is a PBE-GGA calculation of a relaxed structure of Sb2Mo, from the Alexandria database.

Raw total energy ... -6.2431 eV/atom
Formation energy without anion corrections ... 116 meV per atom

a = 3.4763 Å, b = 3.4763 Å, c = 6.4591 Å
α = 90.00°, β = 90.00°, γ = 120.00°
Last column: nearest neighbours and their distance in Å.
Positions (direct):
Sb (0.3333, 0.6667, 0.2919)  3 Mo 2.75
Sb (0.6667, 0.3333, 0.7081)  3 Mo 2.75
Mo (0.0000, 0.0000, 0.0000)  6 Sb 2.75